## CeSiSe4 (PBE-GGA)

Data for crystalline CeSiSe4 at its relaxed geometry.

```
data_CeSiSe4
_space_group_name_H-M_alt 'P 1 21/m 1'
_space_group_IT_number 11
_cell_length_a 6.0771
_cell_length_b 9.3317
_cell_length_c 6.0897
_cell_angle_alpha 90.00
_cell_angle_beta 103.36
_cell_angle_gamma 90.00
loop_
_space_group_symop_operation_xyz
'x,y,z'
'-x,-y,-z'
'-x,y+1/2,-z'
'x,-y+1/2,z'
loop_
_atom_site_label
_atom_site_type_symbol
_atom_site_fract_x
_atom_site_fract_y
_atom_site_fract_z
Ce1 Ce 0.1375 0.2500 0.1333
Si1 Si 0.3844 0.7500 0.3951
Se1 Se 0.1796 0.5663 0.1937
Se2 Se 0.2496 0.2500 0.6291
Se3 Se 0.3660 0.7500 0.7625
```

Calculated values
**Volume**: 336 Å³/cell
**Energy relative to the elements, uncorrected**: -927 meV per atom
**Electronic total energy**: -5.14 eV/atom
**Crystal system**: monoclinic
**Energy relative to the lowest polymorph listed for this composition**: 0.006 eV/atom

***

## CeSmSiSe (PBE-GGA)

Data for crystalline CeSmSiSe at its relaxed geometry.

```
data_CeSmSiSe
_space_group_name_H-M_alt 'R 3 m'
_space_group_IT_number 160
_space_group_name_Hall 'R 3 -2"'
_cell_length_a 4.2016
_cell_length_b 4.2016
_cell_length_c 20.6994
_cell_angle_alpha 90.00
_cell_angle_beta 90.00
_cell_angle_gamma 120.00
loop_
_atom_site_label
_atom_site_type_symbol
_atom_site_fract_x
_atom_site_fract_y
_atom_site_fract_z
Ce1 Ce 0.0000 0.0000 0.0000
Sm1 Sm 0.0000 0.0000 0.4932
Si1 Si 0.0000 0.0000 0.7449
Se1 Se 0.0000 0.0000 0.2465
```

Calculated values
**Volume**: 316 Å³/cell
**Energy relative to the elements, uncorrected**: -1260 meV per atom
**Electronic total energy**: -6.15 eV/atom
**Crystal system**: trigonal

***

## Ce4SiTeSe2 (PBE-GGA)

Data for crystalline Ce4SiTeSe2 at its relaxed geometry.

```
data_Ce4SiTeSe2
_space_group_name_H-M_alt 'P 1 2/m 1'
_space_group_IT_number 10
_cell_length_a 7.3629
_cell_length_b 4.2710
_cell_length_c 7.4885
_cell_angle_alpha 90.00
_cell_angle_beta 109.32
_cell_angle_gamma 90.00
loop_
_space_group_symop_operation_xyz
'x,y,z'
'-x,-y,-z'
'-x,y,-z'
'x,-y,z'
loop_
_atom_site_label
_atom_site_type_symbol
_atom_site_fract_x
_atom_site_fract_y
_atom_site_fract_z
Ce1 Ce 0.2402 0.0000 0.2318
Ce2 Ce 0.2508 0.5000 0.7639
Si1 Si 0.5000 0.0000 0.0000
Te1 Te 0.5000 0.5000 0.5000
Se1 Se 0.0000 0.0000 0.5000
Se2 Se 0.0000 0.5000 0.0000
```

Calculated values
**Volume**: 222 Å³/cell
**Energy relative to the elements, uncorrected**: -1398 meV per atom
**Electronic total energy**: -6.31 eV/atom
**Crystal system**: monoclinic